No. 1
## Mn2TlCuCl6 (GGA-PBE)

Data for a relaxed structure of Mn2TlCuCl6.

Cell: 13.3164 13.4195 7.5018 Å, 90.00 112.18 90.00°
Closest atoms and distances in Å follow each position.
Space group C2/c (No. 15)
Symmetry-distinct sites (fractional):
Mn 0.1856 0.0768 0.1762  4 Cl 2.35-2.42
Tl 0.0000 0.3844 0.2500  6 Cl 3.19-3.27
Cu 0.0000 0.2818 0.7500  2 Cl 2.24
Cl 0.1076 0.2304 0.0442  1 Cu 2.24, 1 Mn 2.35
Cl 0.1238 0.4126 0.7024  1 Mn 2.36, 1 Cu 2.52
Cl 0.1366 0.0579 0.4535  2 Mn 2.38-2.42

Its formation energy from raw total energies is -914 meV per atom. As for the crystal system: monoclinic. As for the total energy: -45.02 eV per formula unit.

=====

No. 2
## Hf5Nb2Sn (GGA-PBE)

Data for a relaxed structure of Hf5Nb2Sn.

Cell: 7.4128 7.4128 12.5106 Å, 90.00 90.00 90.00°
Closest atoms and distances in Å follow each position.
Space group I4/mcm (No. 140)
Symmetry-distinct sites (fractional):
Hf 0.0000 0.0000 0.0000  4 Nb 2.81, 2 Sn 3.13
Hf 0.1491 0.3509 0.1551  3 Nb 2.84-2.96, 2 Sn 3.07, 1 Hf 3.13
Nb 0.1530 0.3470 0.5000  8 Hf 2.81-2.96
Sn 0.0000 0.0000 0.2500  10 Hf 3.07-3.13

The density of states at the Fermi level is 27.46 states/eV/cell. As for the crystal system: tetragonal. As for the total energy: -73.69 eV per formula unit. The formation energy is 28 meV per atom.

=====

No. 3
## Li3TlSi (GGA-PBE)

Data for a relaxed structure of Li3TlSi.

Cell: 4.9473 4.9473 4.9473 Å, 90.00 90.00 90.00°
Closest atoms and distances in Å follow each position.
Space group Pm-3m (No. 221)
Symmetry-distinct sites (fractional):
Li 0.0000 0.0000 0.5000  2 Tl 2.47
Tl 0.0000 0.0000 0.0000  6 Li 2.47
Si 0.5000 0.5000 0.5000  12 Li 3.50

Its formation energy from raw total energies is 525 meV per atom. The density of states at the Fermi level is 2.11 states/eV/cell. For the energy above the most stable polymorph in this dataset, the calculation gives 11.57 kcal/mol of atoms. As for the crystal system: cubic. As for the total energy: -10.91 eV per formula unit.

=====

No. 4
## ScCdNi (GGA-PBE)

Data for a relaxed structure of ScCdNi.

Cell: 4.5071 4.5071 3.0785 Å, 90.00 90.00 120.00°
Closest atoms and distances in Å follow each position.
Space group P3m1 (No. 156)
Symmetry-distinct sites (fractional):
Sc 0.0000 0.0000 0.0000  6 Ni 3.02-3.03, 6 Cd 3.02, 2 Sc 3.08
Cd 0.6667 0.3333 0.5003  3 Ni 2.60
Ni 0.3333 0.6667 0.4987  3 Cd 2.60

The density of states at the Fermi level is 2.66 states/eV/cell. As for the crystal system: trigonal. As for the total energy: -13.54 eV per formula unit. The formation energy is -170 meV per atom.

=====

No. 5
## Sm3MnTl4Te8 (GGA-PBE)

Data for a relaxed structure of Sm3MnTl4Te8.

Cell: 8.9093 8.9093 24.1181 Å, 90.00 90.00 120.00°
Closest atoms and distances in Å follow each position.
Space group R-3m (No. 166, hexagonal axes)
Symmetry-distinct sites (fractional):
Sm 0.0000 0.5000 0.0000  6 Te 3.13-3.14
Mn 0.0000 0.0000 0.0000  6 Te 2.95
Tl 0.0000 0.0000 0.5000  6 Te 3.59
Tl 0.0000 0.5000 0.5000  6 Te 3.40-3.42
Te 0.0000 0.0000 0.2591  3 Sm 3.13, 3 Tl 3.40
Te 0.0197 0.5099 0.7367  1 Mn 2.95, 2 Sm 3.14

Its formation energy from raw total energies is -818 meV per atom. The density of states at the Fermi level is 15.39 states/eV/cell. As for the crystal system: trigonal. As for the total energy: -71.01 eV per formula unit.

=====

No. 6
## Rb3GeCl2F6 (GGA-PBE)

Data for a relaxed structure of Rb3GeCl2F6.

Cell: 14.1839 6.3892 6.0806 Å, 90.00 90.45 90.00°
Closest atoms and distances in Å follow each position.
Space group C2/m (No. 12)
Symmetry-distinct sites (fractional):
Rb 0.0000 0.0000 0.0000  4 F 2.91
Rb 0.2500 0.2500 0.5000  4 F 2.86-2.91, 2 Rb 3.19
Ge 0.0000 0.5000 0.5000  6 F 1.83-1.84
Cl 0.2367 0.0000 0.0144  1 F 3.06, 2 Cl 3.22, 3 Rb 3.36
F 0.0590 0.2942 0.6635  1 Ge 1.84
F 0.1021 0.5000 0.3173  1 Ge 1.83

Its formation energy from raw total energies is -2237 meV per atom. The density of states at the Fermi level is 2.34 states/eV/cell. As for the crystal system: monoclinic. As for the total energy: -49.29 eV per formula unit.

=====

No. 7
## KTh2AgTe5 (GGA-PBE)

Data for a relaxed structure of KTh2AgTe5.

Cell: 8.7400 8.7400 16.4725 Å, 90.00 90.00 90.00°
Closest atoms and distances in Å follow each position.
Space group I4/mcm (No. 140)
Symmetry-distinct sites (fractional):
K 0.0000 0.0000 0.2500  10 Te 3.96-4.12, 4 Ag 4.37
Th 0.1572 0.3428 0.0000  8 Te 3.13-3.33
Ag 0.0000 0.5000 0.2500  4 Te 2.80
Te 0.0000 0.0000 0.0000  4 Th 3.30
Te 0.1475 0.3525 0.3788  1 Ag 2.80

Its formation energy from raw total energies is -991 meV per atom. The density of states at the Fermi level is 8.57 states/eV/cell. As for the crystal system: tetragonal. As for the total energy: -43.42 eV per formula unit.

=====

No. 8
## LuPaW4 (GGA-PBE)

Data for a relaxed structure of LuPaW4.

Cell: 7.7981 7.7981 7.7981 Å, 90.00 90.00 90.00°
Closest atoms and distances in Å follow each position.
Space group F-43m (No. 216)
Symmetry-distinct sites (fractional):
Lu 0.0000 0.0000 0.0000  12 W 3.23, 4 Pa 3.38
Pa 0.2500 0.2500 0.7500  12 W 3.23, 4 Lu 3.38
W 0.1248 0.1248 0.3752  6 W 2.75-2.76

The density of states at the Fermi level is 8.48 states/eV/cell. As for the crystal system: cubic. As for the total energy: -65.26 eV per formula unit. The formation energy is 95 meV per atom.

=====

No. 9
## Nb2CBrO (GGA-PBE)

Data for a relaxed structure of Nb2CBrO.

Cell: 4.8130 4.8130 3.7942 Å, 90.00 90.00 90.00°
Closest atoms and distances in Å follow each position.
Space group P4/mmm (No. 123)
Symmetry-distinct sites (fractional):
Nb 0.0000 0.5000 0.0000  2 Br 2.41
C 0.0000 0.0000 0.5000  8 Nb 3.06, 4 O 3.40
Br 0.5000 0.5000 0.0000  2 O 1.90
O 0.5000 0.5000 0.5000  2 Br 1.90

Its formation energy from raw total energies is 2067 meV per atom. The density of states at the Fermi level is 4.86 states/eV/cell. As for the crystal system: tetragonal. As for the total energy: -25.66 eV per formula unit.

=====

No. 10
## KSr2Ag2 (GGA-PBE)

Data for a relaxed structure of KSr2Ag2.

Cell: 8.9144 8.9144 4.4892 Å, 90.00 90.00 90.00°
Closest atoms and distances in Å follow each position.
Space group P4/mbm (No. 127)
Symmetry-distinct sites (fractional):
K 0.0000 0.0000 0.0000  4 Ag 3.56
Sr 0.1628 0.3372 0.5000  6 Ag 3.39-3.55
Ag 0.1187 0.6187 0.0000  1 Ag 2.99

The density of states at the Fermi level is 9.44 states/eV/cell. For the energy above the most stable polymorph in this dataset, the calculation gives 0.00 kcal/mol of atoms. As for the crystal system: tetragonal. As for the total energy: -10.95 eV per formula unit. The formation energy is -156 meV per atom.

=====

No. 11
## Al2ZnNi (GGA-PBE)

Data for a relaxed structure of Al2ZnNi.

Cell: 2.8519 3.4308 5.6190 Å, 90.00 90.00 90.00°
Closest atoms and distances in Å follow each position.
Space group Pmmm (No. 47)
Symmetry-distinct sites (fractional):
Al 0.0000 0.0000 0.2327  4 Ni 2.59, 3 Al 2.61-2.85, 4 Zn 2.69
Zn 0.5000 0.5000 0.5000  8 Al 2.69, 2 Ni 2.81, 2 Zn 2.85
Ni 0.5000 0.5000 0.0000  8 Al 2.59, 2 Zn 2.81, 2 Ni 2.85

The density of states at the Fermi level is 1.19 states/eV/cell. As for the crystal system: orthorhombic. As for the total energy: -15.52 eV per formula unit. The formation energy is -246 meV per atom.